A geometry-optimized Sc5Re structure, computed with GGA-PBEsol.

a = 3.3487 Å, b = 5.7890 Å, c = 7.4416 Å
α = 110.28°, β = 90.00°, γ = 106.81°
Sites, in units of the cell vectors:
Sc  0.1597  0.3195  0.7865
Sc  0.5000  0.0000  0.0000
Sc  0.1386  0.2771  0.3612
Sc  0.8614  0.7229  0.6388
Sc  0.8403  0.6805  0.2135
Re  0.5000  0.0000  0.5000

Computed properties:
ΔH_f (0 K): -0.028 eV per atom
V: 129 Å³/cell
Energy above the lowest structure with this stoichiometry: 0 meV/atom

=====

A geometry-optimized Sc3Re structure, computed with GGA-PBEsol.

a = 2.8511 Å, b = 4.5699 Å, c = 5.8333 Å
α = 90.00°, β = 90.00°, γ = 90.00°
Sites, in units of the cell vectors:
Sc  0.5000  0.5000  0.2277
Sc  0.0000  0.0000  0.5000
Sc  0.5000  0.5000  0.7723
Re  0.0000  0.0000  0.0000

Computed properties:
ΔH_f (0 K): 0.140 eV per atom
V: 76 Å³/cell

=====

A geometry-optimized Sc3Re structure, computed with GGA-PBEsol.

a = 3.2367 Å, b = 3.2367 Å, c = 7.8175 Å
α = 90.00°, β = 90.00°, γ = 90.00°
Sites, in units of the cell vectors:
Sc  0.5000  0.5000  0.1952
Sc  0.0000  0.0000  0.5000
Sc  0.5000  0.5000  0.8048
Re  0.0000  0.0000  0.0000

Computed properties:
ΔH_f (0 K): 0.030 eV per atom
V: 82 Å³/cell

=====

A geometry-optimized Sc5Re24 structure, computed with GGA-PBEsol.

a = 8.3553 Å, b = 8.3553 Å, c = 8.3553 Å
α = 109.47°, β = 109.47°, γ = 109.47°
Sites, in units of the cell vectors:
Re  0.6780  0.3988  0.0000
Re  0.0000  0.6780  0.3988
Re  0.1857  0.8079  0.8079
Re  0.0000  0.1921  0.3778
Re  0.1921  0.3778  0.0000
Re  0.1921  0.0000  0.3778
Re  0.3988  0.6780  0.0000
Re  0.6012  0.2792  0.6012
Re  0.3220  0.3220  0.7208
Re  0.6222  0.6222  0.8143
Re  0.8143  0.6222  0.6222
Re  0.7208  0.3220  0.3220
Re  0.3778  0.0000  0.1921
Re  0.8079  0.1857  0.8079
Re  0.0000  0.3988  0.6780
Re  0.0000  0.3778  0.1921
Re  0.6780  0.0000  0.3988
Re  0.3988  0.0000  0.6780
Re  0.6012  0.6012  0.2792
Re  0.3220  0.7208  0.3220
Re  0.2792  0.6012  0.6012
Re  0.8079  0.8079  0.1857
Re  0.3778  0.1921  0.0000
Re  0.6222  0.8143  0.6222
Sc  0.3666  0.3666  0.3666
Sc  0.6334  0.0000  0.0000
Sc  0.0000  0.6334  0.0000
Sc  0.0000  0.0000  0.6334
Sc  0.0000  0.0000  0.0000

Computed properties:
ΔH_f (0 K): -0.215 eV per atom
V: 449 Å³/cell

=====

A geometry-optimized Sc2Re structure, computed with GGA-PBEsol.

a = 3.1951 Å, b = 5.5685 Å, c = 7.3481 Å
α = 111.23°, β = 90.00°, γ = 106.67°
Sites, in units of the cell vectors:
Re  0.1753  0.3505  0.5621
Re  0.8247  0.6495  0.4379
Sc  0.1809  0.3618  0.1324
Sc  0.8191  0.6382  0.8676
Sc  0.4934  0.9868  0.2892
Sc  0.5066  0.0132  0.7108

Computed properties:
ΔH_f (0 K): -0.070 eV per atom
V: 116 Å³/cell

=====

A geometry-optimized ScRe structure, computed with GGA-PBEsol.

a = 3.7715 Å, b = 3.7715 Å, c = 3.7715 Å
α = 60.00°, β = 60.00°, γ = 60.00°
Sites, in units of the cell vectors:
Sc  0.5000  0.5000  0.5000
Re  0.0000  0.0000  0.0000

Computed properties:
ΔH_f (0 K): 1.225 eV per atom
V: 38 Å³/cell